Version a
A plane-wave DFT calculation with GGA-PBE was carried out for an optimized crystal structure of BeRh2Br.

Cell lengths 2.9082, 2.9095, 7.0341 Å; angles 90.00, 90.24, 90.00 degrees
With the nearest neighbours (Å) after each atom.
Space group P2/m (No. 10)
Symmetry-distinct sites (fractional):
Be (0.0000, 0.0000, 0.0000) (multiplicity 1)  8 Rh 2.44
Rh (0.4988, 0.5000, 0.8129) (multiplicity 2)  4 Be 2.44, 1 Rh 2.63, 2 Br 2.64
Br (0.5000, 0.0000, 0.5000) (multiplicity 1)  4 Rh 2.64, 4 Br 2.91

=====

Version b
A plane-wave DFT calculation with GGA-PBE was carried out for an optimized crystal structure of BeRh2Br.

Cell lengths 3.1329, 4.4152, 4.3913 Å; angles 90.00, 90.00, 90.00 degrees
With the nearest neighbours (Å) after each atom.
Space group Pmm2 (No. 25)
Symmetry-distinct sites (fractional):
Be (0.0000, 0.0000, 0.0000) (multiplicity 1)  4 Rh 2.25-2.33
Rh (0.0000, 0.5000, 0.1707) (multiplicity 1)  2 Be 2.33
Rh (0.5000, 0.0000, 0.3667) (multiplicity 1)  2 Be 2.25
Br (0.5000, 0.5000, 0.6666) (multiplicity 1)  6 Rh 2.57-2.71

=====

Version c
A plane-wave DFT calculation with GGA-PBE was carried out for an optimized crystal structure of BeRh2Br.

Cell lengths 3.4843, 3.4843, 17.8816 Å; angles 90.00, 90.00, 120.00 degrees
With the nearest neighbours (Å) after each atom.
Space group R-3m (No. 166, hexagonal axes)
Symmetry-distinct sites (fractional):
Be (0.0000, 0.0000, 0.0000) (multiplicity 3)  6 Rh 2.23
Rh (0.0000, 0.0000, 0.2792) (multiplicity 6)  3 Be 2.23
Br (0.0000, 0.0000, 0.5000) (multiplicity 3)  6 Rh 2.85

=====

Version d
A plane-wave DFT calculation with GGA-PBE was carried out for an optimized crystal structure of BeRh2Br.

Cell lengths 3.1661, 3.1661, 6.0537 Å; angles 90.00, 90.00, 90.00 degrees
With the nearest neighbours (Å) after each atom.
Space group P4mm (No. 99)
Symmetry-distinct sites (fractional):
Be (0.0000, 0.0000, 0.0000) (multiplicity 1)  5 Rh 2.23-2.27
Rh (0.0000, 0.0000, 0.6318) (multiplicity 1)  1 Be 2.23
Rh (0.5000, 0.5000, 0.9377) (multiplicity 1)  4 Be 2.27
Br (0.5000, 0.5000, 0.3602) (multiplicity 1)  5 Rh 2.56-2.78

=====

Verdict on stability: version b comes out at the bottom.

=====

Version a
A plane-wave DFT calculation with GGA-PBE was carried out for an optimized crystal structure of BeRh2Br.

Cell lengths 2.9171, 2.9171, 6.6820 Å; angles 90.00, 90.00, 90.00 degrees
With the nearest neighbours (Å) after each atom.
Space group P4/mmm (No. 123)
Symmetry-distinct sites (fractional):
Be (0.0000, 0.0000, 0.0000) (multiplicity 1)  8 Rh 2.46
Rh (0.5000, 0.5000, 0.2012) (multiplicity 2)  4 Be 2.46, 1 Rh 2.69
Br (0.0000, 0.0000, 0.5000) (multiplicity 1)  8 Rh 2.87, 4 Br 2.92

=====

Version b
A plane-wave DFT calculation with GGA-PBE was carried out for an optimized crystal structure of BeRh2Br.

Cell lengths 3.5935, 3.5935, 9.0239 Å; angles 90.00, 90.00, 90.00 degrees
With the nearest neighbours (Å) after each atom.
Space group I-4m2 (No. 119)
Symmetry-distinct sites (fractional):
Be (0.0000, 0.0000, 0.0000) (multiplicity 2)  4 Rh 2.54
Rh (0.0000, 0.0000, 0.5000) (multiplicity 2)  4 Be 2.54
Rh (0.0000, 0.5000, 0.2500) (multiplicity 2)  4 Br 2.54
Br (0.0000, 0.5000, 0.7500) (multiplicity 2)  4 Rh 2.54

=====

Verdict on stability: version b comes out at the bottom.

=====

Version a
A plane-wave DFT calculation with GGA-PBE was carried out for an optimized crystal structure of BeRhSe2Br.

Cell lengths 4.5724, 4.5724, 4.5942 Å; angles 90.00, 90.00, 90.00 degrees
With the nearest neighbours (Å) after each atom.
Space group P4/mmm (No. 123)
Symmetry-distinct sites (fractional):
Be (0.0000, 0.0000, 0.0000) (multiplicity 1)  4 Se 2.29, 2 Br 2.30
Rh (0.5000, 0.5000, 0.5000) (multiplicity 1)  4 Br 3.23, 8 Se 3.24
Se (0.0000, 0.5000, 0.0000) (multiplicity 2)  2 Be 2.29
Br (0.0000, 0.0000, 0.5000) (multiplicity 1)  2 Be 2.30

=====

Version b
A plane-wave DFT calculation with GGA-PBE was carried out for an optimized crystal structure of BeRhSe2Br.

Cell lengths 4.8691, 4.8691, 5.0696 Å; angles 90.00, 90.00, 90.00 degrees
With the nearest neighbours (Å) after each atom.
Space group P4/mmm (No. 123)
Symmetry-distinct sites (fractional):
Be (0.0000, 0.0000, 0.0000) (multiplicity 1)  4 Br 3.44, 8 Se 3.51
Rh (0.5000, 0.5000, 0.5000) (multiplicity 1)  4 Se 2.43, 2 Br 2.53
Se (0.0000, 0.5000, 0.5000) (multiplicity 2)  2 Rh 2.43
Br (0.5000, 0.5000, 0.0000) (multiplicity 1)  2 Rh 2.53

=====

Verdict on stability: version b comes out at the bottom.

=====

Version a
A plane-wave DFT calculation with GGA-PBE was carried out for an optimized crystal structure of Be3RuBr.

Cell lengths 4.3052, 4.3052, 4.3052 Å; angles 90.00, 90.00, 90.00 degrees
With the nearest neighbours (Å) after each atom.
Space group Pm-3m (No. 221)
Symmetry-distinct sites (fractional):
Be (0.0000, 0.0000, 0.5000) (multiplicity 3)  2 Ru 2.15
Ru (0.0000, 0.0000, 0.0000) (multiplicity 1)  6 Be 2.15
Br (0.5000, 0.5000, 0.5000) (multiplicity 1)  12 Be 3.04

=====

Version b
A plane-wave DFT calculation with GGA-PBE was carried out for an optimized crystal structure of Be3RuBr.

Cell lengths 4.1822, 4.1822, 4.1822 Å; angles 90.00, 90.00, 90.00 degrees
With the nearest neighbours (Å) after each atom.
Space group Pm-3m (No. 221)
Symmetry-distinct sites (fractional):
Be (0.0000, 0.0000, 0.5000) (multiplicity 3)  2 Br 2.09
Ru (0.5000, 0.5000, 0.5000) (multiplicity 1)  12 Be 2.96
Br (0.0000, 0.0000, 0.0000) (multiplicity 1)  6 Be 2.09

=====

Verdict on stability: version b comes out at the bottom.

=====

Version a
A plane-wave DFT calculation with GGA-PBE was carried out for an optimized crystal structure of BeRuSe2Br.

Cell lengths 4.7974, 4.7974, 5.2437 Å; angles 90.00, 90.00, 90.00 degrees
With the nearest neighbours (Å) after each atom.
Space group P4/mmm (No. 123)
Symmetry-distinct sites (fractional):
Be (0.0000, 0.0000, 0.0000) (multiplicity 1)  4 Br 3.39, 8 Se 3.55
Ru (0.5000, 0.5000, 0.5000) (multiplicity 1)  4 Se 2.40, 2 Br 2.62
Se (0.0000, 0.5000, 0.5000) (multiplicity 2)  2 Ru 2.40
Br (0.5000, 0.5000, 0.0000) (multiplicity 1)  2 Ru 2.62

=====

Version b
A plane-wave DFT calculation with GGA-PBE was carried out for an optimized crystal structure of BeRuSe2Br.

Cell lengths 4.5832, 4.5832, 4.7559 Å; angles 90.00, 90.00, 90.00 degrees
With the nearest neighbours (Å) after each atom.
Space group P4/mmm (No. 123)
Symmetry-distinct sites (fractional):
Be (0.0000, 0.0000, 0.0000) (multiplicity 1)  4 Se 2.29, 2 Br 2.38
Ru (0.5000, 0.5000, 0.5000) (multiplicity 1)  4 Br 3.24, 8 Se 3.30
Se (0.0000, 0.5000, 0.0000) (multiplicity 2)  2 Be 2.29
Br (0.0000, 0.0000, 0.5000) (multiplicity 1)  2 Be 2.38

=====

Verdict on stability: version a comes out at the bottom.

=====

Version a
A plane-wave DFT calculation with GGA-PBE was carried out for an optimized crystal structure of BeSeSBr2.

Cell lengths 5.0168, 5.0168, 5.0602 Å; angles 90.00, 90.00, 90.00 degrees
With the nearest neighbours (Å) after each atom.
Space group P4/mmm (No. 123)
Symmetry-distinct sites (fractional):
Be (0.0000, 0.0000, 0.0000) (multiplicity 1)  4 Se 3.55, 8 Br 3.56
Se (0.5000, 0.5000, 0.0000) (multiplicity 1)  2 S 2.53
S (0.5000, 0.5000, 0.5000) (multiplicity 1)  4 Br 2.51, 2 Se 2.53
Br (0.0000, 0.5000, 0.5000) (multiplicity 2)  2 S 2.51

=====

Version b
A plane-wave DFT calculation with GGA-PBE was carried out for an optimized crystal structure of BeSeSBr2.

Cell lengths 4.4082, 4.4082, 5.6860 Å; angles 90.00, 90.00, 90.00 degrees
With the nearest neighbours (Å) after each atom.
Space group P4/mmm (No. 123)
Symmetry-distinct sites (fractional):
Be (0.0000, 0.0000, 0.0000) (multiplicity 1)  4 Br 2.20
Se (0.0000, 0.0000, 0.5000) (multiplicity 1)  2 Be 2.84, 4 S 3.12
S (0.5000, 0.5000, 0.5000) (multiplicity 1)  4 Se 3.12
Br (0.0000, 0.5000, 0.0000) (multiplicity 2)  2 Be 2.20

=====

Verdict on stability: version a comes out at the bottom.